Record 1
## LaHfHg3 (PBE-GGA)

Data for a geometry-optimized LaHfHg3 structure.

Output
Space-group type   Pm-3m (221)
Size of the total moment   0.002 μB per formula unit
Excess energy over the best structure of this formula in the dataset   942 meV/atom
Energy of formation   1.148 eV per atom

Unit cell a=5.7048 b=5.7048 c=5.7048 alpha=90.00 beta=90.00 gamma=90.00
Sites, in units of the cell vectors:
La 0.0000 0.0000 0.0000
Hf 0.5000 0.5000 0.5000
Hg 0.0000 0.0000 0.5000
Hg 0.0000 0.5000 0.0000
Hg 0.5000 0.0000 0.0000

Record 2
## LaHf3Hg (PBE-GGA)

Data for a geometry-optimized LaHf3Hg structure.

Output
Space-group type   Pm-3m (221)
Size of the total moment   2.714 μB per formula unit
Excess energy over the best structure of this formula in the dataset   0 meV/atom
Energy of formation   0.898 eV per atom

Unit cell a=5.3196 b=5.3196 c=5.3196 alpha=90.00 beta=90.00 gamma=90.00
Sites, in units of the cell vectors:
La 0.0000 0.0000 0.0000
Hf 0.0000 0.5000 0.5000
Hf 0.5000 0.0000 0.5000
Hf 0.5000 0.5000 0.0000
Hg 0.5000 0.5000 0.5000

Record 3
## La2HfHg (PBE-GGA)

Data for a geometry-optimized La2HfHg structure.

Output
Space-group type   P4/mmm (123)
Size of the total moment   0.000 μB per formula unit
Energy of formation   -0.073 eV per atom

Unit cell a=3.5327 b=3.5327 c=9.3608 alpha=90.00 beta=90.00 gamma=90.00
Sites, in units of the cell vectors:
La 0.0000 0.0000 0.2465
La 0.0000 0.0000 0.7535
Hf 0.5000 0.5000 0.5000
Hg 0.5000 0.5000 0.0000

Record 4
## LaHfHg3 (PBE-GGA)

Data for a geometry-optimized LaHfHg3 structure.

Output
Space-group type   Pm-3m (221)
Size of the total moment   0.000 μB per formula unit
Excess energy over the best structure of this formula in the dataset   0 meV/atom
Energy of formation   0.206 eV per atom

Unit cell a=5.3827 b=5.3827 c=5.3827 alpha=90.00 beta=90.00 gamma=90.00
Sites, in units of the cell vectors:
La 0.0000 0.0000 0.0000
Hf 0.5000 0.5000 0.5000
Hg 0.0000 0.5000 0.5000
Hg 0.5000 0.0000 0.5000
Hg 0.5000 0.5000 0.0000

Record 5
## LiLa2HfHg (PBE-GGA)

Data for a geometry-optimized LiLa2HfHg structure.

Output
Space-group type   P4/mmm (123)
Size of the total moment   2.251 μB per formula unit
Energy of formation   0.537 eV per atom

Unit cell a=5.9808 b=5.9808 c=4.6138 alpha=90.00 beta=90.00 gamma=90.00
Sites, in units of the cell vectors:
Li 0.0000 0.0000 0.0000
La 0.0000 0.5000 0.5000
La 0.5000 0.0000 0.5000
Hf 0.5000 0.5000 0.0000
Hg 0.0000 0.0000 0.5000

Record 6
## LaHfHgN2 (PBE-GGA)

Data for a geometry-optimized LaHfHgN2 structure.

Output
Space-group type   P4/mmm (123)
Size of the total moment   0.001 μB per formula unit
Formation energy (no corrections)   2018 meV/atom

Unit cell a=4.4348 b=4.4348 c=5.5523 alpha=90.00 beta=90.00 gamma=90.00
Sites, in units of the cell vectors:
La 0.0000 0.0000 0.0000
Hf 0.5000 0.5000 0.0000
Hg 0.0000 0.0000 0.5000
N 0.0000 0.5000 0.5000
N 0.5000 0.0000 0.5000

Record 7
## NaLa2HfHg (PBE-GGA)

Data for a geometry-optimized NaLa2HfHg structure.

Output
Space-group type   P4/mmm (123)
Size of the total moment   0.000 μB per formula unit
Energy of formation   1.019 eV per atom

Unit cell a=5.6295 b=5.6295 c=5.1909 alpha=90.00 beta=90.00 gamma=90.00
Sites, in units of the cell vectors:
Na 0.0000 0.0000 0.0000
La 0.0000 0.5000 0.0000
La 0.5000 0.0000 0.0000
Hf 0.0000 0.0000 0.5000
Hg 0.5000 0.5000 0.5000

Record 8
## LaHfNb2Hg (PBE-GGA)

Data for a geometry-optimized LaHfNb2Hg structure.

Output
Space-group type   P4/mmm (123)
Size of the total moment   0.000 μB per formula unit
Energy of formation   1.593 eV per atom

Unit cell a=4.8907 b=4.8907 c=5.1184 alpha=90.00 beta=90.00 gamma=90.00
Sites, in units of the cell vectors:
La 0.0000 0.0000 0.0000
Hf 0.0000 0.0000 0.5000
Nb 0.0000 0.5000 0.0000
Nb 0.5000 0.0000 0.0000
Hg 0.5000 0.5000 0.5000

Record 9
## La2HfHgO (PBE-GGA)

Data for a geometry-optimized La2HfHgO structure.

Output
Space-group type   P4/mmm (123)
Size of the total moment   0.315 μB per formula unit
Formation energy (no corrections)   -1189 meV/atom

Unit cell a=5.3336 b=5.3336 c=4.2033 alpha=90.00 beta=90.00 gamma=90.00
Sites, in units of the cell vectors:
La 0.0000 0.5000 0.0000
La 0.5000 0.0000 0.0000
Hf 0.0000 0.0000 0.5000
Hg 0.5000 0.5000 0.5000
O 0.0000 0.0000 0.0000

Record 10
## Li2HfHg3 (PBE-GGA)

Data for a geometry-optimized Li2HfHg3 structure.

Output
Space-group type   P4/mmm (123)
Size of the total moment   0.000 μB per formula unit
Energy of formation   -0.234 eV per atom

Unit cell a=3.2956 b=3.2956 c=10.4566 alpha=90.00 beta=90.00 gamma=90.00
Sites, in units of the cell vectors:
Li 0.0000 0.0000 0.1577
Li 0.0000 0.0000 0.8423
Hf 0.0000 0.0000 0.5000
Hg 0.5000 0.5000 0.0000
Hg 0.5000 0.5000 0.3121
Hg 0.5000 0.5000 0.6879

Record 11
## Li2Hf2Hg (PBE-GGA)

Data for a geometry-optimized Li2Hf2Hg structure.

Output
Space-group type   I4/mmm (139)
Size of the total moment   0.000 μB per formula unit
Excess energy over the best structure of this formula in the dataset   257 meV/atom
Energy of formation   0.421 eV per atom

Unit cell a=6.6844 b=6.6844 c=6.6844 alpha=144.95 beta=144.95 gamma=50.41
Sites, in units of the cell vectors:
Li 0.0835 0.0835 0.0000
Li 0.9165 0.9165 0.0000
Hf 0.2500 0.7500 0.5000
Hf 0.7500 0.2500 0.5000
Hg 0.5000 0.5000 0.0000

Record 12
## Li2Hf2Hg (PBE-GGA)

Data for a geometry-optimized Li2Hf2Hg structure.

Output
Space-group type   P4/mbm (127)
Size of the total moment   0.000 μB per formula unit
Excess energy over the best structure of this formula in the dataset   0 meV/atom
Energy of formation   0.164 eV per atom

Unit cell a=6.2691 b=6.2691 c=4.6476 alpha=90.00 beta=90.00 gamma=90.00
Sites, in units of the cell vectors:
Li 0.1266 0.3734 0.0000
Li 0.3734 0.8734 0.0000
Li 0.6266 0.1266 0.0000
Li 0.8734 0.6266 0.0000
Hf 0.1767 0.6767 0.5000
Hf 0.3233 0.1767 0.5000
Hf 0.6767 0.8233 0.5000
Hf 0.8233 0.3233 0.5000
Hg 0.0000 0.0000 0.0000
Hg 0.5000 0.5000 0.0000